No. 1
# Tl4CoCl7, optimized geometry, DFT PBE
# total DFT energy (no corrections): -3.205 eV per atom
# DOS at the Fermi energy: 7.22 states/eV/f.u.
# uncorrected formation energy: -0.747 eV/atom
# total magnetic moment: 2.342 μB/f.u.
# mass density: 4.61 Mg/m³
data_Tl4CoCl7
_cell_length_a 17.270
_cell_length_b 4.607
_cell_length_c 12.677
_cell_angle_alpha 90.00
_cell_angle_beta 126.52
_cell_angle_gamma 90.00
_symmetry_space_group_name_H-M 'C 1 2/m 1'
_symmetry_Int_Tables_number 12
loop_
_symmetry_equiv_pos_as_xyz
'x,y,z'
'-x,-y,-z'
'-x,y,-z'
'x,-y,z'
'x+1/2,y+1/2,z'
'-x+1/2,-y+1/2,-z'
'-x+1/2,y+1/2,-z'
'x+1/2,-y+1/2,z'
loop_
_atom_site_label
_atom_site_type_symbol
_atom_site_fract_x
_atom_site_fract_y
_atom_site_fract_z
Tl1 Tl 0.105 0.000 0.362
Tl2 Tl 0.229 0.500 0.828
Co1 Co 0.000 0.500 0.000
Cl1 Cl 0.000 0.000 0.000
Cl2 Cl 0.118 0.000 0.829
Cl3 Cl 0.136 0.500 0.194
Cl4 Cl 0.163 0.500 0.546



No. 2
# TlCo4Cl, optimized geometry, DFT PBE
# total DFT energy (no corrections): -4.840 eV per atom
# DOS at the Fermi energy: 7.59 states/eV/f.u.
# uncorrected formation energy: 0.600 eV/atom
# total magnetic moment: 7.739 μB/f.u.
# mass density: 8.69 Mg/m³
data_TlCo4Cl
_cell_length_a 7.136
_cell_length_b 7.136
_cell_length_c 7.136
_cell_angle_alpha 90.00
_cell_angle_beta 90.00
_cell_angle_gamma 90.00
_symmetry_space_group_name_H-M 'F -4 3 m'
_symmetry_Int_Tables_number 216
_symmetry_space_group_name_Hall 'F -4 2 3'
loop_
_atom_site_label
_atom_site_type_symbol
_atom_site_fract_x
_atom_site_fract_y
_atom_site_fract_z
Tl1 Tl 0.000 0.000 0.000
Co1 Co 0.124 0.124 0.376
Cl1 Cl 0.250 0.250 0.750